# 1
A relaxed Tb5ErSc3 crystal, computed with PBE-GGA.

```
18
Lattice="9.0472 -0.1743 1.5514 2.3090 8.7493 1.5514 5.3925 4.0718 8.9907" Properties=species:S:1:pos:R:3 pbc="T T T"
Tb 9.9302 3.9544 4.2066
Tb 4.0254 6.4763 1.5514
Tb 14.4736 10.9289 11.2158
Tb 6.8038 5.1375 3.6346
Tb 9.9449 7.5093 8.4589
Tb 2.2751 1.7179 0.8777
Tb 6.5217 8.4684 4.2066
Tb 7.3309 2.0987 1.5514
Tb 6.8185 8.6924 7.8869
Tb 10.2270 4.1784 7.8869
Er 4.9192 3.7145 5.8254
Er 11.8295 8.9323 6.2682
Sc 12.2630 9.2597 9.5282
Sc 9.4155 7.1096 5.2967
Sc 0.0000 0.0000 0.0000
Sc 2.6962 2.0359 4.4954
Sc 4.4857 3.3871 2.5654
Sc 7.3332 5.5372 6.7968
```

Values from the calculation:
- energy relative to the elements (meV/atom) = 475
- DFT total energy (eV per cell) = -84.86
- DOS at the Fermi energy (states/eV per atom) = 1.46
- crystal system = monoclinic



# 2
A relaxed TbEr4Sc4 crystal, computed with PBE-GGA.

```
9
Lattice="4.8012 0.0000 0.0000 2.4006 7.2237 0.0000 2.4006 0.0000 7.2237" Properties=species:S:1:pos:R:3 pbc="T T T"
Tb 0.0000 0.0000 0.0000
Er 4.8012 2.3800 2.3799
Er 4.8012 4.8436 4.8438
Er 7.2018 4.8438 2.3800
Er 2.4006 2.3799 4.8436
Sc 4.8012 4.8119 0.0000
Sc 4.8012 2.4117 7.2236
Sc 7.2018 7.2236 4.8119
Sc 2.4006 0.0000 2.4117
```

Values from the calculation:
- energy relative to the elements (meV/atom) = 52
- DFT total energy (eV per cell) = -47.74
- DOS at the Fermi energy (states/eV per atom) = 1.50
- crystal system = tetragonal



# 3
A relaxed Tb8Er3Sc2 crystal, computed with PBE-GGA.

```
13
Lattice="6.2268 0.4355 2.2964 2.3853 7.9313 4.2832 1.0756 0.4633 9.2504" Properties=species:S:1:pos:R:3 pbc="T T T"
Tb 2.2591 4.9879 8.0947
Tb 7.4285 3.8422 7.7352
Tb 0.7419 1.5966 2.5960
Tb 8.9457 7.2335 13.2339
Tb 4.9673 4.7747 5.4915
Tb 4.4927 2.0686 7.2914
Tb 5.1949 6.7614 8.5386
Tb 4.7204 4.0554 10.3384
Er 3.1134 0.2177 1.1482
Er 1.2983 1.7331 8.4058
Er 2.1626 6.6615 5.1278
Sc 3.9355 1.9026 3.8981
Sc 5.7522 6.9275 11.9318
```

Values from the calculation:
- energy relative to the elements (meV/atom) = 227
- DFT total energy (eV per cell) = -60.45
- DOS at the Fermi energy (states/eV per atom) = 1.17
- crystal system = monoclinic